{"formula": "NdSnMo", "functional": "PBE-GGA", "state": "relaxed", "lattice_angstrom": [[0.000, 3.577, 3.577], [3.577, 0.000, 3.577], [3.577, 3.577, 0.000]], "species": ["Nd", "Sn", "Mo"], "frac_coords": [[0.000, 0.000, 0.000], [0.250, 0.250, 0.250], [0.750, 0.750, 0.750]], "crystal_system": "cubic", "relative_energy_mev_per_atom": 575, "sg": "F-43m, No. 216"}

***

{"formula": "NdSnMo", "functional": "PBE-GGA", "state": "relaxed", "lattice_angstrom": [[0.000, 3.403, 3.403], [3.403, 0.000, 3.403], [3.403, 3.403, 0.000]], "species": ["Nd", "Sn", "Mo"], "frac_coords": [[0.000, 0.000, 0.000], [0.500, 0.500, 0.500], [0.250, 0.250, 0.250]], "crystal_system": "cubic", "relative_energy_mev_per_atom": 0, "sg": "F-43m, No. 216"}

***

{"formula": "TbNdMo", "functional": "PBE-GGA", "state": "relaxed", "lattice_angstrom": [[0.000, 3.444, 3.444], [3.444, 0.000, 3.444], [3.444, 3.444, 0.000]], "species": ["Tb", "Nd", "Mo"], "frac_coords": [[0.000, 0.000, 0.000], [0.750, 0.750, 0.750], [0.500, 0.500, 0.500]], "crystal_system": "cubic", "sg": "F-43m, No. 216", "e_form_ev_per_atom": 1.275}

***

{"formula": "NdTcMo", "functional": "PBE-GGA", "state": "relaxed", "lattice_angstrom": [[0.000, 3.217, 3.217], [3.217, 0.000, 3.217], [3.217, 3.217, 0.000]], "species": ["Nd", "Tc", "Mo"], "frac_coords": [[0.000, 0.000, 0.000], [0.250, 0.250, 0.250], [0.750, 0.750, 0.750]], "crystal_system": "cubic", "sg": "F-43m, No. 216", "e_form_ev_per_atom": 1.752}

***

{"formula": "NdThMo", "functional": "PBE-GGA", "state": "relaxed", "lattice_angstrom": [[0.000, 3.521, 3.521], [3.521, 0.000, 3.521], [3.521, 3.521, 0.000]], "species": ["Nd", "Th", "Mo"], "frac_coords": [[0.000, 0.000, 0.000], [0.750, 0.750, 0.750], [0.500, 0.500, 0.500]], "crystal_system": "cubic", "relative_energy_mev_per_atom": 0, "sg": "F-43m, No. 216", "e_form_ev_per_atom": 1.154}

***

{"formula": "NdTlMo", "functional": "PBE-GGA", "state": "relaxed", "lattice_angstrom": [[0.000, 3.467, 3.467], [3.467, 0.000, 3.467], [3.467, 3.467, 0.000]], "species": ["Nd", "Tl", "Mo"], "frac_coords": [[0.000, 0.000, 0.000], [0.750, 0.750, 0.750], [0.500, 0.500, 0.500]], "crystal_system": "cubic", "e_tot_ev_per_cell": -15.4, "sg": "F-43m, No. 216"}